# MgZrI PBE relaxed
# energy relative to the lowest polymorph listed for this composition = 0.0259 eV per atom
# ρ = 4.3 g cm⁻³
# uncorrected formation energy = -0.276 eV/atom
# magnetic moment = 0.0 μB per cell
data_MgZrI
_chemical_formula_sum 'Mg2 Zr2 I2'
_space_group_name_H-M_alt 'P 1'
_space_group_IT_number 1
_cell_length_a 3.9511
_cell_length_b 4.5846
_cell_length_c 10.4503
_cell_angle_alpha 90.19
_cell_angle_beta 100.68
_cell_angle_gamma 90.00
loop_
_space_group_symop_operation_xyz
'x,y,z'
loop_
_atom_site_label
_atom_site_fract_x
_atom_site_fract_y
_atom_site_fract_z
Mg1 0.0000 0.0000 0.0000
Mg2 0.4972 0.4999 0.9940
Zr1 0.3893 0.9977 0.7728
Zr2 0.8797 0.4975 0.7535
I1 0.1073 0.4990 0.2148
I2 0.7804 0.9960 0.5505


# Tb4Nd4Mg PBE relaxed
# energy of formation from the pure elements = 0.015 eV per atom
# ρ = 7.0 g cm⁻³
# magnetic moment = 0.0 μB per cell
data_Tb4Nd4Mg
_chemical_formula_sum 'Tb8 Nd8 Mg2'
_space_group_name_H-M_alt 'I 4/m m m'
_space_group_IT_number 139
_space_group_name_Hall '-I 4 2'
_cell_length_a 10.7406
_cell_length_b 10.7406
_cell_length_c 5.0680
_cell_angle_alpha 90.00
_cell_angle_beta 90.00
_cell_angle_gamma 90.00
loop_
_atom_site_label
_atom_site_fract_x
_atom_site_fract_y
_atom_site_fract_z
Tb1 0.0000 0.3345 0.0000
Nd1 0.1658 0.1658 0.5000
Mg1 0.0000 0.0000 0.0000


# HoScRu4 PBE relaxed
# energy of formation from the pure elements = -0.327 eV per atom
# ρ = 9.9 g cm⁻³
# magnetic moment = 0.0 μB per cell
data_HoScRu4
_chemical_formula_sum 'Ho4 Sc4 Ru16'
_space_group_name_H-M_alt 'F -4 3 m'
_space_group_IT_number 216
_space_group_name_Hall 'F -4 2 3'
_cell_length_a 7.4376
_cell_length_b 7.4376
_cell_length_c 7.4376
_cell_angle_alpha 90.00
_cell_angle_beta 90.00
_cell_angle_gamma 90.00
loop_
_atom_site_label
_atom_site_fract_x
_atom_site_fract_y
_atom_site_fract_z
Ho1 0.0000 0.0000 0.0000
Sc1 0.2500 0.2500 0.7500
Ru1 0.1247 0.1247 0.3753


# LiNd2SmSe4 PBE relaxed
# ρ = 6.2 g cm⁻³
# uncorrected formation energy = -1.764 eV/atom
# magnetic moment = 0.0 μB per cell
data_LiNd2SmSe4
_chemical_formula_sum 'Li1 Nd2 Sm1 Se4'
_space_group_name_H-M_alt 'P 1 2/m 1'
_space_group_IT_number 10
_cell_length_a 7.2128
_cell_length_b 4.1684
_cell_length_c 7.2184
_cell_angle_alpha 90.00
_cell_angle_beta 109.41
_cell_angle_gamma 90.00
loop_
_space_group_symop_operation_xyz
'x,y,z'
'-x,-y,-z'
'-x,y,-z'
'x,-y,z'
loop_
_atom_site_label
_atom_site_fract_x
_atom_site_fract_y
_atom_site_fract_z
Li1 0.0000 0.0000 0.0000
Nd1 0.0000 0.5000 0.5000
Nd2 0.5000 0.0000 0.5000
Sm1 0.5000 0.5000 0.0000
Se1 0.2407 0.5000 0.2376
Se2 0.2457 0.0000 0.7604


# SrIn3Ni PBE relaxed
# energy of formation from the pure elements = -0.239 eV per atom
# ρ = 6.3 g cm⁻³
# magnetic moment = 0.0 μB per cell
data_SrIn3Ni
_chemical_formula_sum 'Sr1 In3 Ni1'
_space_group_name_H-M_alt 'P m -3 m'
_space_group_IT_number 221
_space_group_name_Hall '-P 4 2 3'
_cell_length_a 5.0532
_cell_length_b 5.0532
_cell_length_c 5.0532
_cell_angle_alpha 90.00
_cell_angle_beta 90.00
_cell_angle_gamma 90.00
loop_
_atom_site_label
_atom_site_fract_x
_atom_site_fract_y
_atom_site_fract_z
Sr1 0.0000 0.0000 0.0000
In1 0.0000 0.5000 0.5000
Ni1 0.5000 0.5000 0.5000


# Tl2Sn2I PBE relaxed
# energy relative to the lowest polymorph listed for this composition = 0.1356 eV per atom
# ρ = 7.6 g cm⁻³
# uncorrected formation energy = 0.034 eV/atom
# magnetic moment = 0.0 μB per cell
data_Tl2Sn2I
_chemical_formula_sum 'Tl4 Sn4 I2'
_space_group_name_H-M_alt 'P 4/m b m'
_space_group_IT_number 127
_space_group_name_Hall '-P 4 2ab'
_cell_length_a 9.3568
_cell_length_b 9.3568
_cell_length_c 3.8582
_cell_angle_alpha 90.00
_cell_angle_beta 90.00
_cell_angle_gamma 90.00
loop_
_atom_site_label
_atom_site_fract_x
_atom_site_fract_y
_atom_site_fract_z
Tl1 0.1897 0.3103 0.0000
Sn1 0.1107 0.6107 0.5000
I1 0.0000 0.0000 0.0000


# Y2Sc2Co2S PBE relaxed
# ρ = 4.6 g cm⁻³
# uncorrected formation energy = -0.660 eV/atom
# magnetic moment = 0.0 μB per cell
data_Y2Sc2Co2S
_chemical_formula_sum 'Y4 Sc4 Co4 S2'
_space_group_name_H-M_alt 'C 1 2/m 1'
_space_group_IT_number 12
_cell_length_a 12.3018
_cell_length_b 3.7068
_cell_length_c 7.8409
_cell_angle_alpha 90.00
_cell_angle_beta 123.17
_cell_angle_gamma 90.00
loop_
_space_group_symop_operation_xyz
'x,y,z'
'-x,-y,-z'
'-x,y,-z'
'x,-y,z'
'x+1/2,y+1/2,z'
'-x+1/2,-y+1/2,-z'
'-x+1/2,y+1/2,-z'
'x+1/2,-y+1/2,z'
loop_
_atom_site_label
_atom_site_fract_x
_atom_site_fract_y
_atom_site_fract_z
Y1 0.0512 0.0000 0.2807
Sc1 0.2227 0.5000 0.8272
Co1 0.1087 0.5000 0.0614
S1 0.0000 0.5000 0.5000


# MgPt2I PBE relaxed
# energy relative to the lowest polymorph listed for this composition = 0.1024 eV per atom
# ρ = 11.8 g cm⁻³
# uncorrected formation energy = 0.107 eV/atom
# magnetic moment = 0.0 μB per cell
data_MgPt2I
_chemical_formula_sum 'Mg4 Pt8 I4'
_space_group_name_H-M_alt 'F m -3 m'
_space_group_IT_number 225
_space_group_name_Hall '-F 4 2 3'
_cell_length_a 6.7243
_cell_length_b 6.7243
_cell_length_c 6.7243
_cell_angle_alpha 90.00
_cell_angle_beta 90.00
_cell_angle_gamma 90.00
loop_
_atom_site_label
_atom_site_fract_x
_atom_site_fract_y
_atom_site_fract_z
Mg1 0.0000 0.0000 0.0000
Pt1 0.2500 0.2500 0.2500
I1 0.0000 0.0000 0.5000


# Na2LaIrW PBE relaxed
# energy of formation from the pure elements = 1.847 eV per atom
# ρ = 6.1 g cm⁻³
# magnetic moment = 3.8 μB per cell
data_Na2LaIrW
_chemical_formula_sum 'Na2 La1 Ir1 W1'
_space_group_name_H-M_alt 'P 4/m m m'
_space_group_IT_number 123
_space_group_name_Hall '-P 4 2'
_cell_length_a 5.3208
_cell_length_b 5.3208
_cell_length_c 5.3618
_cell_angle_alpha 90.00
_cell_angle_beta 90.00
_cell_angle_gamma 90.00
loop_
_atom_site_label
_atom_site_fract_x
_atom_site_fract_y
_atom_site_fract_z
Na1 0.0000 0.5000 0.0000
La1 0.0000 0.0000 0.5000
Ir1 0.5000 0.5000 0.5000
W1 0.0000 0.0000 0.0000


# Zr2ZnSi PBE relaxed
# ρ = 6.1 g cm⁻³
# uncorrected formation energy = -0.130 eV/atom
# magnetic moment = 0.0 μB per cell
data_Zr2ZnSi
_chemical_formula_sum 'Zr2 Zn1 Si1'
_space_group_name_H-M_alt 'P 4 m m'
_space_group_IT_number 99
_cell_length_a 3.1640
_cell_length_b 3.1640
_cell_length_c 7.4946
_cell_angle_alpha 90.00
_cell_angle_beta 90.00
_cell_angle_gamma 90.00
loop_
_space_group_symop_operation_xyz
'x,y,z'
'-y,x,z'
'-x,-y,z'
'y,-x,z'
'-x,y,z'
'y,x,z'
'x,-y,z'
'-y,-x,z'
loop_
_atom_site_label
_atom_site_fract_x
_atom_site_fract_y
_atom_site_fract_z
Zr1 0.0000 0.0000 0.0000
Zr2 0.5000 0.5000 0.3198
Zn1 0.5000 0.5000 0.7451
Si1 0.0000 0.0000 0.5652


# KYCuW2 PBE relaxed
# energy of formation from the pure elements = 1.619 eV per atom
# ρ = 7.8 g cm⁻³
# magnetic moment = 0.0 μB per cell
data_KYCuW2
_chemical_formula_sum 'K1 Y1 Cu1 W2'
_space_group_name_H-M_alt 'P 4/m m m'
_space_group_IT_number 123
_space_group_name_Hall '-P 4 2'
_cell_length_a 4.7043
_cell_length_b 4.7043
_cell_length_c 5.4060
_cell_angle_alpha 90.00
_cell_angle_beta 90.00
_cell_angle_gamma 90.00
loop_
_atom_site_label
_atom_site_fract_x
_atom_site_fract_y
_atom_site_fract_z
K1 0.0000 0.0000 0.0000
Y1 0.5000 0.5000 0.0000
Cu1 0.5000 0.5000 0.5000
W1 0.0000 0.5000 0.5000


# Y6ThMg PBE relaxed
# energy of formation from the pure elements = 0.111 eV per atom
# energy relative to the lowest polymorph listed for this composition = 0.0000 eV per atom
# ρ = 5.2 g cm⁻³
# magnetic moment = 0.0 μB per cell
data_Y6ThMg
_chemical_formula_sum 'Y18 Th3 Mg3'
_space_group_name_H-M_alt 'R -3'
_space_group_IT_number 148
_space_group_name_Hall '-R 3'
_cell_length_a 9.4351
_cell_length_b 9.4351
_cell_length_c 9.8403
_cell_angle_alpha 90.00
_cell_angle_beta 90.00
_cell_angle_gamma 120.00
loop_
_atom_site_label
_atom_site_fract_x
_atom_site_fract_y
_atom_site_fract_z
Y1 0.0214 0.2652 0.2200
Th1 0.0000 0.0000 0.5000
Mg1 0.0000 0.0000 0.0000


> What is the formula in the ninth record?

Na2LaIrW